Density functional theory data (PBE-GGA) for LiTc2Mo after structural relaxation.

magnetic moment: 0.00 μB per cell
formation enthalpy at 0 K: 371.5 meV/atom
relative energy among the computed polymorphs: 192 meV per atom
crystal system: orthorhombic

Cell lengths 4.967, 4.967, 2.621 Å; angles 90.00, 90.00, 115.63 degrees
Sites, in units of the cell vectors:
Tc 0.500 0.500 0.000
Li 0.500 0.000 0.500
Mo 0.000 0.500 0.500
Tc 0.000 0.000 0.000